No. 1
First-principles (PBE) data for a relaxed SmErCd crystal, as listed in the Alexandria database.

Lattice parameters (Å, degrees): 3.625 3.625 7.019 104.97 104.97 90.00
Atoms (fractional coordinates):
Er: 0.013 0.013 0.025
Cd: 0.662 0.662 0.323
Sm: 0.326 0.326 0.651

Output
Space group   No. 107
Calculated formation energy   -0.19 eV/atom

***

No. 2
First-principles (PBE) data for a relaxed TmScCu2Ge2 crystal, as listed in the Alexandria database.

Lattice parameters (Å, degrees): 4.190 4.190 6.954 90.00 90.00 120.00
Atoms (fractional coordinates):
Sc: 0.000 0.000 0.500
Cu: 0.667 0.333 0.278
Cu: 0.333 0.667 0.722
Ge: 0.333 0.667 0.261
Ge: 0.667 0.333 0.739
Tm: 0.000 0.000 0.000

Output
Space group   No. 164
Calculated formation energy   -0.64 eV/atom

***

No. 3
First-principles (PBE) data for a relaxed Nd6P5I crystal, as listed in the Alexandria database.

Lattice parameters (Å, degrees): 7.327 7.327 7.304 99.69 99.69 119.89
Atoms (fractional coordinates):
P: 0.668 0.332 0.000
P: 0.840 0.160 0.500
P: 0.160 0.840 0.500
P: 0.332 0.668 0.000
P: 0.500 0.500 0.500
Nd: 0.088 0.447 0.263
Nd: 0.270 0.270 0.736
Nd: 0.912 0.553 0.737
Nd: 0.730 0.730 0.264
Nd: 0.447 0.088 0.263
Nd: 0.553 0.912 0.737
I: 0.000 0.000 0.000

Output
DFT total energy   -75.1 eV for the cell shown
Space group   No. 12

***

No. 4
First-principles (PBE) data for a relaxed ErCoBRh2 crystal, as listed in the Alexandria database.

Lattice parameters (Å, degrees): 4.001 4.181 4.181 90.00 90.00 90.00
Atoms (fractional coordinates):
Er: 0.500 0.500 0.500
Rh: 0.000 0.000 0.500
Rh: 0.000 0.500 0.000
Co: 0.500 0.000 0.000
B: 0.000 0.000 0.000

Output
Space group   No. 123
Calculated formation energy   -0.66 eV/atom